1.
# CeCd2OsO8 | Alexandria via LeMat-Bulk | PBE | optimized geometry
# Total DFT energy (no corrections): -6.40 eV per atom
# Formation energy without anion corrections: -145.99 kJ per mole of atoms
# Magnetic moment: 0.00 μB/f.u.
data_CeCd2OsO8
_cell_length_a 5.041
_cell_length_b 6.780
_cell_length_c 5.055
_cell_angle_alpha 90.00
_cell_angle_beta 93.10
_cell_angle_gamma 90.00
_symmetry_space_group_name_H-M 'P 1 2/m 1'
_symmetry_Int_Tables_number 10
loop_
_symmetry_equiv_pos_as_xyz
'x,y,z'
'-x,-y,-z'
'-x,y,-z'
'x,-y,z'
loop_
_atom_site_label
_atom_site_fract_x
_atom_site_fract_y
_atom_site_fract_z
_atom_site_occupancy
Ce1 0.000 0.000 0.000 1
Cd1 0.500 0.255 0.500 1
Os1 0.000 0.500 0.000 1
O1 0.177 0.298 0.826 1
O2 0.269 0.500 0.271 1
O3 0.293 0.000 0.295 1

2.
# Tl2CdIrAu | Alexandria via LeMat-Bulk | PBE | optimized geometry
# ΔE_f: 1027 meV/atom
# Total DFT energy (no corrections): -2.53 eV per atom
# Magnetic moment: 1.19 μB/f.u.
data_Tl2CdIrAu
_cell_length_a 5.343
_cell_length_b 5.343
_cell_length_c 5.210
_cell_angle_alpha 90.00
_cell_angle_beta 90.00
_cell_angle_gamma 90.00
_symmetry_space_group_name_H-M 'P 4/m m m'
_symmetry_Int_Tables_number 123
_symmetry_space_group_name_Hall '-P 4 2'
loop_
_atom_site_label
_atom_site_fract_x
_atom_site_fract_y
_atom_site_fract_z
_atom_site_occupancy
Tl1 0.000 0.500 0.000 1
Cd1 0.000 0.000 0.500 1
Ir1 0.500 0.500 0.500 1
Au1 0.000 0.000 0.000 1

3.
# CsNbSn2Cl | Alexandria via LeMat-Bulk | PBE | optimized geometry
# Total DFT energy (no corrections): -2.29 eV per atom
# Formation energy without anion corrections: 179.65 kJ per mole of atoms
# Magnetic moment: 2.33 μB/f.u.
data_CsNbSn2Cl
_cell_length_a 6.334
_cell_length_b 6.334
_cell_length_c 5.537
_cell_angle_alpha 90.00
_cell_angle_beta 90.00
_cell_angle_gamma 90.00
_symmetry_space_group_name_H-M 'P 4/m m m'
_symmetry_Int_Tables_number 123
_symmetry_space_group_name_Hall '-P 4 2'
loop_
_atom_site_label
_atom_site_fract_x
_atom_site_fract_y
_atom_site_fract_z
_atom_site_occupancy
Cs1 0.000 0.000 0.000 1
Nb1 0.000 0.000 0.500 1
Sn1 0.000 0.500 0.000 1
Cl1 0.500 0.500 0.500 1

4.
# KLi4In3F12 | Alexandria via LeMat-Bulk | PBE | optimized geometry
# Total DFT energy (no corrections): -4.51 eV per atom
# Formation energy without anion corrections: -245.23 kJ per mole of atoms
# Magnetic moment: 0.00 μB/f.u.
data_KLi4In3F12
_cell_length_a 11.6959
_cell_length_b 11.6959
_cell_length_c 8.1776
_cell_angle_alpha 90.00
_cell_angle_beta 90.00
_cell_angle_gamma 120.00
_symmetry_space_group_name_H-M 'R 3 2'
_symmetry_Int_Tables_number 155
_symmetry_space_group_name_Hall 'R 3 2"'
loop_
_atom_site_label
_atom_site_fract_x
_atom_site_fract_y
_atom_site_fract_z
_atom_site_occupancy
K1 0.0000 0.0000 0.0000 1
Li1 0.0000 0.0000 0.5000 1
Li2 0.0000 0.4411 0.5000 1
In1 0.0000 0.5544 0.0000 1
F1 0.0000 0.6007 0.5000 1
F2 0.0000 0.8426 0.5000 1
F3 0.0474 0.2226 0.1828 1

5.
# Mg6BMo | Alexandria via LeMat-Bulk | PBE | optimized geometry
# ΔE_f: 498 meV/atom
# Energy above the most stable polymorph in this dataset: 82 kJ/mol of formula units
# Total DFT energy (no corrections): -2.89 eV per atom
# Magnetic moment: 0.25 μB/f.u.
data_Mg6BMo
_cell_length_a 4.698
_cell_length_b 5.582
_cell_length_c 10.869
_cell_angle_alpha 90.00
_cell_angle_beta 90.00
_cell_angle_gamma 90.00
_symmetry_space_group_name_H-M 'A m m 2'
_symmetry_Int_Tables_number 38
loop_
_symmetry_equiv_pos_as_xyz
'x,y,z'
'-x,-y,z'
'-x,y,z'
'x,-y,z'
'x,y+1/2,z+1/2'
'-x,-y+1/2,z+1/2'
'-x,y+1/2,z+1/2'
'x,-y+1/2,z+1/2'
loop_
_atom_site_label
_atom_site_fract_x
_atom_site_fract_y
_atom_site_fract_z
_atom_site_occupancy
Mg1 0.000 0.000 0.000 1
Mg2 0.000 0.000 0.482 1
Mg3 0.000 0.245 0.756 1
Mg4 0.500 0.250 0.103 1
B1 0.500 0.000 0.341 1
Mo1 0.500 0.000 0.856 1

6.
# Li2CaRh | Alexandria via LeMat-Bulk | PBE | optimized geometry
# ΔE_f: -107 meV/atom
# Energy above the most stable polymorph in this dataset: 35 kJ/mol of formula units
# Total DFT energy (no corrections): -3.40 eV per atom
# Magnetic moment: 0.00 μB/f.u.
data_Li2CaRh
_cell_length_a 6.524
_cell_length_b 6.524
_cell_length_c 6.524
_cell_angle_alpha 90.00
_cell_angle_beta 90.00
_cell_angle_gamma 90.00
_symmetry_space_group_name_H-M 'F m -3 m'
_symmetry_Int_Tables_number 225
_symmetry_space_group_name_Hall '-F 4 2 3'
loop_
_atom_site_label
_atom_site_fract_x
_atom_site_fract_y
_atom_site_fract_z
_atom_site_occupancy
Li1 0.250 0.250 0.250 1
Ca1 0.000 0.000 0.000 1
Rh1 0.000 0.000 0.500 1